(1)
The following is a PBE calculation of a geometry-optimized Er2Tm5Hg structure, from OQMD.

Summary:
Energy relative to the elements: -0.0350 eV per atom

Unit cell a=5.461 b=6.953 c=12.047 alpha=90.00 beta=90.00 gamma=90.00
Space group Amm2 (No. 38)
Symmetry-distinct sites (fractional):
Er1 0.000 0.000 0.000 x2
Er2 0.500 0.000 0.341 x2
Tm1 0.000 0.244 0.756 x4
Tm2 0.500 0.000 0.838 x2
Tm3 0.500 0.247 0.587 x4
Hg1 0.000 0.000 0.506 x2

---

(2)
The following is a PBE calculation of a geometry-optimized NaSmGe structure, from OQMD.

Summary:
VASP energy: -3.520 eV/atom

Unit cell a=6.990 b=6.990 c=6.990 alpha=90.00 beta=90.00 gamma=90.00
Space group F-43m (No. 216)
Symmetry-distinct sites (fractional):
Na1 0.000 0.000 0.000 x4
Sm1 0.250 0.250 0.750 x4
Ge1 0.000 0.000 0.500 x4

---

(3)
The following is a PBE calculation of a geometry-optimized NdYB4 structure, from OQMD.

Summary:
E above lowest polymorph: 2.0 kJ per mole of atoms

Unit cell a=3.322 b=5.758 c=8.004 alpha=90.00 beta=90.00 gamma=90.00
Space group Immm (No. 71)
Symmetry-distinct sites (fractional):
Nd1 0.000 0.000 0.000 x2
Y1 0.000 0.000 0.500 x2
B1 0.000 0.334 0.248 x8

---

Repeat the third record exactly.
The following is a PBE calculation of a geometry-optimized NdYB4 structure, from OQMD.

Summary:
E above lowest polymorph: 2.0 kJ per mole of atoms

Unit cell a=3.322 b=5.758 c=8.004 alpha=90.00 beta=90.00 gamma=90.00
Space group Immm (No. 71)
Symmetry-distinct sites (fractional):
Nd1 0.000 0.000 0.000 x2
Y1 0.000 0.000 0.500 x2
B1 0.000 0.334 0.248 x8